No. 1
This record from Alexandria via LeMat-Bulk describes an optimized crystal structure of KGePb. The functional is PBE.

Summary:
symmetry = P3m1, No. 156
total DFT energy (no corrections) = -9.517 eV/f.u.
energy above the lowest structure with this stoichiometry = 0.087 eV/atom

Lattice parameters (Å, degrees): 5.770 4.574 4.574 120.00 90.00 90.00
Positions (direct):
Pb 0.243 0.333 0.667
K 0.686 0.667 0.333
Ge 0.071 0.000 0.000

No. 2
This record from Alexandria via LeMat-Bulk describes an optimized crystal structure of KGePb. The functional is PBE.

Summary:
symmetry = I4mm, No. 107
total DFT energy (no corrections) = -9.427 eV/f.u.
energy above the lowest structure with this stoichiometry = 0.118 eV/atom

Lattice parameters (Å, degrees): 3.755 3.755 7.138 105.25 105.25 90.00
Positions (direct):
K 0.990 0.990 0.980
Pb 0.699 0.699 0.398
Ge 0.311 0.311 0.622

No. 3
This record from Alexandria via LeMat-Bulk describes an optimized crystal structure of KGe3Pb. The functional is PBE.

Summary:
symmetry = Pm-3m, No. 221
total DFT energy (no corrections) = -12.178 eV/f.u.
energy above the lowest structure with this stoichiometry = 0.628 eV/atom

Lattice parameters (Å, degrees): 5.493 5.493 5.493 90.00 90.00 90.00
Positions (direct):
Ge 0.000 0.500 0.000
Ge 0.000 0.000 0.500
Ge 0.500 0.000 0.000
Pb 0.500 0.500 0.500
K 0.000 0.000 0.000

Q: Which value of total DFT energy (no corrections) does entry 1 give?
A: -9.517 eV/f.u.

Q: What is the total DFT energy (no corrections) in the second record?
A: -9.427 eV/f.u.

Q: The lowest total DFT energy (no corrections) belongs to which entry?
A: KGe3Pb